1.
# Rb3ReBr PBE-GGA relaxed
data_Rb3ReBr
_symmetry_space_group_name_H-M 'P 1'
_symmetry_Int_Tables_number 1
_cell_length_a 6.5059
_cell_length_b 6.5059
_cell_length_c 6.5059
_cell_angle_alpha 90.00
_cell_angle_beta 90.00
_cell_angle_gamma 90.00
loop_
_symmetry_equiv_pos_as_xyz
'x,y,z'
loop_
_atom_site_label
_atom_site_fract_x
_atom_site_fract_y
_atom_site_fract_z
Rb1 0.0000 0.0000 0.5000
Rb2 0.0000 0.5000 0.0000
Rb3 0.5000 0.0000 0.0000
Re1 0.5000 0.5000 0.5000
Br1 0.0000 0.0000 0.0000
# Volume (Å³ per cell): 275
# Space-group type: No. 221
# Uncorrected energy (eV/atom): -2.7280
# Energy above the lowest structure with this stoichiometry (eV per atom): 0.0000
# N(E_F) (states/eV per cell): 7.8

2.
# RbRe2Br2 PBE-GGA relaxed
data_RbRe2Br2
_symmetry_space_group_name_H-M 'P 1'
_symmetry_Int_Tables_number 1
_cell_length_a 6.5007
_cell_length_b 6.5007
_cell_length_c 6.5007
_cell_angle_alpha 133.29
_cell_angle_beta 133.29
_cell_angle_gamma 68.21
loop_
_symmetry_equiv_pos_as_xyz
'x,y,z'
loop_
_atom_site_label
_atom_site_fract_x
_atom_site_fract_y
_atom_site_fract_z
Rb1 0.0000 0.0000 0.0000
Re1 0.4025 0.4025 0.0000
Re2 0.5975 0.5975 0.0000
Br1 0.2500 0.7500 0.5000
Br2 0.7500 0.2500 0.5000
# Volume (Å³ per cell): 143
# Space-group type: No. 139
# Uncorrected energy (eV/atom): -5.0529
# Energy above the lowest structure with this stoichiometry (eV per atom): 0.0000
# N(E_F) (states/eV per cell): 0.1

| no. | E_form (uncorrected) (eV per atom) |
| --- | --- |
| 1 | 0.6768 |
| 2 | 0.7890 |